Tb2Zn6Ga3: optimized geometry, PBE-GGA.

Values from the calculation:
Final energy in eV per cell: -29.74
ΔE_f in eV per atom: -0.342
Total moment in Bohr magnetons per cell: 0.00
Space-group type: No. 189

Lattice parameters (Å, degrees): 4.0235 7.6462 7.6462 120.00 90.00 90.00
Fractional coordinates of all 11 atoms:
Tb (0.0000, 0.3333, 0.6667)
Tb (0.0000, 0.6667, 0.3333)
Zn (0.0000, 0.0000, 0.8093)
Zn (0.5000, 0.2873, 0.0000)
Zn (0.5000, 0.7127, 0.7127)
Zn (0.0000, 0.8093, 0.0000)
Zn (0.0000, 0.1907, 0.1907)
Zn (0.5000, 0.0000, 0.2873)
Ga (0.5000, 0.6154, 0.0000)
Ga (0.5000, 0.0000, 0.6154)
Ga (0.5000, 0.3846, 0.3846)



Tb3Zn4Ga4: optimized geometry, PBE-GGA.

Values from the calculation:
Final energy in eV per cell: -36.56
ΔE_f in eV per atom: -0.497
Total moment in Bohr magnetons per cell: 0.00
Space-group type: No. 12

Lattice parameters (Å, degrees): 3.7835 4.3454 13.4682 80.74 81.90 90.00
Fractional coordinates of all 11 atoms:
Tb (0.1453, 0.6454, 0.7091)
Tb (0.8548, 0.3547, 0.2909)
Tb (0.0000, 0.0000, 0.0000)
Ga (0.5469, 0.5484, 0.9030)
Ga (0.6879, 0.1890, 0.6229)
Ga (0.4531, 0.4516, 0.0970)
Ga (0.3121, 0.8110, 0.3771)
Zn (0.7450, 0.7454, 0.5102)
Zn (0.5943, 0.0944, 0.8113)
Zn (0.4057, 0.9056, 0.1887)
Zn (0.2550, 0.2547, 0.4898)